DFT (PBE) results for a relaxed structure of Dy5Tm6Pu.

CIF file:
```
data_Dy5Tm6Pu
_chemical_formula_sum 'Dy10 Tm12 Pu2'
_space_group_name_H-M_alt 'I m m m'
_space_group_IT_number 71
_space_group_name_Hall '-I 2 2'
_cell_length_a 4.950
_cell_length_b 9.891
_cell_length_c 14.856
_cell_angle_alpha 90.00
_cell_angle_beta 90.00
_cell_angle_gamma 90.00
loop_
_atom_site_label
_atom_site_type_symbol
_atom_site_fract_x
_atom_site_fract_y
_atom_site_fract_z
Dy1 Dy 0.000 0.000 0.000
Dy2 Dy 0.000 0.000 0.334
Dy3 Dy 0.000 0.500 0.334
Tm1 Tm 0.000 0.246 0.500
Tm2 Tm 0.000 0.252 0.165
Pu1 Pu 0.000 0.500 0.000
```

Results
ΔE_f in meV/atom: 43.8

=====

DFT (PBE) results for a relaxed structure of Dy3Tm7Pu.

CIF file:
```
data_Dy3Tm7Pu
_chemical_formula_sum 'Dy3 Tm7 Pu1'
_space_group_name_H-M_alt 'P 3 m 1'
_space_group_IT_number 156
_cell_length_a 6.9189
_cell_length_b 6.9189
_cell_length_c 8.4470
_cell_angle_alpha 90.00
_cell_angle_beta 90.00
_cell_angle_gamma 120.00
loop_
_space_group_symop_operation_xyz
'x,y,z'
'-y,x-y,z'
'-x+y,-x,z'
'-y,-x,z'
'-x+y,y,z'
'x,x-y,z'
loop_
_atom_site_label
_atom_site_type_symbol
_atom_site_fract_x
_atom_site_fract_y
_atom_site_fract_z
Dy1 Dy 0.0034 0.5017 0.0000
Tm1 Tm 0.1689 0.3378 0.6586
Tm2 Tm 0.3348 0.1674 0.3332
Tm3 Tm 0.6667 0.3333 0.6637
Pu1 Pu 0.3333 0.6667 0.3299
```

Results
ΔE_f in meV/atom: 209.6

=====

DFT (PBE) results for a relaxed structure of Dy4Tm2Pu.

CIF file:
```
data_Dy4Tm2Pu
_chemical_formula_sum 'Dy16 Tm8 Pu4'
_space_group_name_H-M_alt 'C 1 2/m 1'
_space_group_IT_number 12
_cell_length_a 12.582
_cell_length_b 11.530
_cell_length_c 6.514
_cell_angle_alpha 90.00
_cell_angle_beta 112.33
_cell_angle_gamma 90.00
loop_
_space_group_symop_operation_xyz
'x,y,z'
'-x,-y,-z'
'-x,y,-z'
'x,-y,z'
'x+1/2,y+1/2,z'
'-x+1/2,-y+1/2,-z'
'-x+1/2,y+1/2,-z'
'x+1/2,-y+1/2,z'
loop_
_atom_site_label
_atom_site_type_symbol
_atom_site_fract_x
_atom_site_fract_y
_atom_site_fract_z
Dy1 Dy 0.098 0.246 0.366
Dy2 Dy 0.245 0.500 0.668
Dy3 Dy 0.246 0.000 0.787
Tm1 Tm 0.025 0.500 0.773
Tm2 Tm 0.250 0.250 0.000
Pu1 Pu 0.000 0.000 0.000
Pu2 Pu 0.000 0.000 0.500
```

Results
ΔE_f in meV/atom: 294.9

=====

DFT (PBE) results for a relaxed structure of DyTm2Pu.

CIF file:
```
data_DyTm2Pu
_chemical_formula_sum 'Dy3 Tm6 Pu3'
_space_group_name_H-M_alt 'R -3 m'
_space_group_IT_number 166
_space_group_name_Hall '-R 3 2"'
_cell_length_a 3.4697
_cell_length_b 3.4697
_cell_length_c 34.0768
_cell_angle_alpha 90.00
_cell_angle_beta 90.00
_cell_angle_gamma 120.00
loop_
_atom_site_label
_atom_site_type_symbol
_atom_site_fract_x
_atom_site_fract_y
_atom_site_fract_z
Dy1 Dy 0.0000 0.0000 0.0000
Tm1 Tm 0.0000 0.0000 0.2491
Pu1 Pu 0.0000 0.0000 0.5000
```

Results
Distance to the lowest polymorph of the same formula in eV per atom: 0.017
ΔE_f in meV/atom: 99.8

=====

DFT (PBE) results for a relaxed structure of Dy2Tm3Pu.

CIF file:
```
data_Dy2Tm3Pu
_chemical_formula_sum 'Dy8 Tm12 Pu4'
_space_group_name_H-M_alt 'I m m a'
_space_group_IT_number 74
_space_group_name_Hall '-I 2b 2'
_cell_length_a 5.769
_cell_length_b 13.434
_cell_length_c 9.361
_cell_angle_alpha 90.00
_cell_angle_beta 90.00
_cell_angle_gamma 90.00
loop_
_atom_site_label
_atom_site_type_symbol
_atom_site_fract_x
_atom_site_fract_y
_atom_site_fract_z
Dy1 Dy 0.000 0.118 0.028
Tm1 Tm 0.000 0.021 0.667
Tm2 Tm 0.000 0.250 0.365
Pu1 Pu 0.250 0.250 0.750
```

Results
ΔE_f in meV/atom: 105.7

=====

DFT (PBE) results for a relaxed structure of Dy3Y2Tm6Pu.

CIF file:
```
data_Dy3Y2Tm6Pu
_chemical_formula_sum 'Dy6 Y4 Tm12 Pu2'
_space_group_name_H-M_alt 'C 1 2/m 1'
_space_group_IT_number 12
_cell_length_a 6.076
_cell_length_b 10.522
_cell_length_c 11.578
_cell_angle_alpha 90.00
_cell_angle_beta 100.10
_cell_angle_gamma 90.00
loop_
_space_group_symop_operation_xyz
'x,y,z'
'-x,-y,-z'
'-x,y,-z'
'x,-y,z'
'x+1/2,y+1/2,z'
'-x+1/2,-y+1/2,-z'
'-x+1/2,y+1/2,-z'
'x+1/2,-y+1/2,z'
loop_
_atom_site_label
_atom_site_type_symbol
_atom_site_fract_x
_atom_site_fract_y
_atom_site_fract_z
Dy1 Dy 0.000 0.000 0.000
Dy2 Dy 0.000 0.333 0.000
Y1 Y 0.000 0.167 0.500
Tm1 Tm 0.246 0.500 0.251
Tm2 Tm 0.248 0.336 0.749
Pu1 Pu 0.000 0.500 0.500
```

Results
ΔE_f in meV/atom: 47.7

=====

DFT (PBE) results for a relaxed structure of Dy6Y2Tm3Pu.

CIF file:
```
data_Dy6Y2Tm3Pu
_chemical_formula_sum 'Dy12 Y4 Tm6 Pu2'
_space_group_name_H-M_alt 'C 1 2/m 1'
_space_group_IT_number 12
_cell_length_a 6.104
_cell_length_b 10.573
_cell_length_c 11.637
_cell_angle_alpha 90.00
_cell_angle_beta 100.09
_cell_angle_gamma 90.00
loop_
_space_group_symop_operation_xyz
'x,y,z'
'-x,-y,-z'
'-x,y,-z'
'x,-y,z'
'x+1/2,y+1/2,z'
'-x+1/2,-y+1/2,-z'
'-x+1/2,y+1/2,-z'
'x+1/2,-y+1/2,z'
loop_
_atom_site_label
_atom_site_type_symbol
_atom_site_fract_x
_atom_site_fract_y
_atom_site_fract_z
Dy1 Dy 0.246 0.000 0.249
Dy2 Dy 0.248 0.165 0.750
Y1 Y 0.000 0.333 0.500
Tm1 Tm 0.000 0.167 0.000
Tm2 Tm 0.000 0.500 0.000
Pu1 Pu 0.000 0.000 0.500
```

Results
ΔE_f in meV/atom: 48.1

=====

DFT (PBE) results for a relaxed structure of DyYTmPu.

CIF file:
```
data_DyYTmPu
_chemical_formula_sum 'Dy4 Y4 Tm4 Pu4'
_space_group_name_H-M_alt 'F -4 3 m'
_space_group_IT_number 216
_space_group_name_Hall 'F -4 2 3'
_cell_length_a 7.871
_cell_length_b 7.871
_cell_length_c 7.871
_cell_angle_alpha 90.00
_cell_angle_beta 90.00
_cell_angle_gamma 90.00
loop_
_atom_site_label
_atom_site_type_symbol
_atom_site_fract_x
_atom_site_fract_y
_atom_site_fract_z
Dy1 Dy 0.000 0.000 0.000
Y1 Y 0.250 0.250 0.750
Tm1 Tm 0.000 0.000 0.500
Pu1 Pu 0.250 0.250 0.250
```

Results
ΔE_f in meV/atom: 191.4

=====

DFT (PBE) results for a relaxed structure of Dy3Y6Tm2Pu.

CIF file:
```
data_Dy3Y6Tm2Pu
_chemical_formula_sum 'Dy6 Y12 Tm4 Pu2'
_space_group_name_H-M_alt 'C 1 2/m 1'
_space_group_IT_number 12
_cell_length_a 6.127
_cell_length_b 10.613
_cell_length_c 11.695
_cell_angle_alpha 90.00
_cell_angle_beta 100.07
_cell_angle_gamma 90.00
loop_
_space_group_symop_operation_xyz
'x,y,z'
'-x,-y,-z'
'-x,y,-z'
'x,-y,z'
'x+1/2,y+1/2,z'
'-x+1/2,-y+1/2,-z'
'-x+1/2,y+1/2,-z'
'x+1/2,-y+1/2,z'
loop_
_atom_site_label
_atom_site_type_symbol
_atom_site_fract_x
_atom_site_fract_y
_atom_site_fract_z
Dy1 Dy 0.000 0.000 0.000
Dy2 Dy 0.000 0.333 0.000
Y1 Y 0.247 0.335 0.747
Y2 Y 0.248 0.500 0.253
Tm1 Tm 0.000 0.167 0.500
Pu1 Pu 0.000 0.500 0.500
```

Results
ΔE_f in meV/atom: 49.5

=====

DFT (PBE) results for a relaxed structure of DyPuV.

CIF file:
```
data_DyPuV
_chemical_formula_sum 'Dy4 Pu4 V4'
_space_group_name_H-M_alt 'P 41 21 2'
_space_group_IT_number 92
_cell_length_a 7.169
_cell_length_b 7.169
_cell_length_c 6.001
_cell_angle_alpha 90.00
_cell_angle_beta 90.00
_cell_angle_gamma 90.00
loop_
_space_group_symop_operation_xyz
'x,y,z'
'-y+1/2,x+1/2,z+1/4'
'-x,-y,z+1/2'
'y+1/2,-x+1/2,z+3/4'
'x+1/2,-y+1/2,-z+3/4'
'-y,-x,-z+1/2'
'-x+1/2,y+1/2,-z+1/4'
'y,x,-z'
loop_
_atom_site_label
_atom_site_type_symbol
_atom_site_fract_x
_atom_site_fract_y
_atom_site_fract_z
Dy1 Dy 0.227 0.227 0.000
Pu1 Pu 0.094 0.094 0.500
V1 V 0.180 0.820 0.750
```

Results
ΔE_f in meV/atom: 784.6

=====

DFT (PBE) results for a relaxed structure of Dy4Y5Pu.

CIF file:
```
data_Dy4Y5Pu
_chemical_formula_sum 'Dy8 Y10 Pu2'
_space_group_name_H-M_alt 'C 1 2/m 1'
_space_group_IT_number 12
_cell_length_a 16.830
_cell_length_b 3.522
_cell_length_c 11.299
_cell_angle_alpha 90.00
_cell_angle_beta 109.00
_cell_angle_gamma 90.00
loop_
_space_group_symop_operation_xyz
'x,y,z'
'-x,-y,-z'
'-x,y,-z'
'x,-y,z'
'x+1/2,y+1/2,z'
'-x+1/2,-y+1/2,-z'
'-x+1/2,y+1/2,-z'
'x+1/2,-y+1/2,z'
loop_
_atom_site_label
_atom_site_type_symbol
_atom_site_fract_x
_atom_site_fract_y
_atom_site_fract_z
Dy1 Dy 0.084 0.000 0.297
Dy2 Dy 0.104 0.500 0.794
Y1 Y 0.000 0.500 0.000
Y2 Y 0.191 0.000 0.080
Y3 Y 0.210 0.000 0.617
Pu1 Pu 0.000 0.500 0.500
```

Results
ΔE_f in meV/atom: 61.8

=====

DFT (PBE) results for a relaxed structure of Dy2YPu.

CIF file:
```
data_Dy2YPu
_chemical_formula_sum 'Dy6 Y3 Pu3'
_space_group_name_H-M_alt 'R 3 m'
_space_group_IT_number 160
_space_group_name_Hall 'R 3 -2"'
_cell_length_a 3.5476
_cell_length_b 3.5476
_cell_length_c 34.0277
_cell_angle_alpha 90.00
_cell_angle_beta 90.00
_cell_angle_gamma 120.00
loop_
_atom_site_label
_atom_site_type_symbol
_atom_site_fract_x
_atom_site_fract_y
_atom_site_fract_z
Dy1 Dy 0.0000 0.0000 0.0000
Dy2 Dy 0.0000 0.0000 0.1694
Y1 Y 0.0000 0.0000 0.4185
Pu1 Pu 0.0000 0.0000 0.5842
```

Results
Distance to the lowest polymorph of the same formula in eV per atom: 0.000
ΔE_f in meV/atom: 94.6

=====

DFT (PBE) results for a relaxed structure of Dy12Y7Pu.

CIF file:
```
data_Dy12Y7Pu
_chemical_formula_sum 'Dy24 Y14 Pu2'
_space_group_name_H-M_alt 'I m -3 m'
_space_group_IT_number 229
_space_group_name_Hall '-I 4 2 3'
_cell_length_a 11.272
_cell_length_b 11.272
_cell_length_c 11.272
_cell_angle_alpha 90.00
_cell_angle_beta 90.00
_cell_angle_gamma 90.00
loop_
_atom_site_label
_atom_site_type_symbol
_atom_site_fract_x
_atom_site_fract_y
_atom_site_fract_z
Dy1 Dy 0.000 0.246 0.246
Y1 Y 0.000 0.000 0.500
Y2 Y 0.250 0.250 0.250
Pu1 Pu 0.000 0.000 0.000
```

Results
ΔE_f in meV/atom: 757.9

=====

DFT (PBE) results for a relaxed structure of Dy8Y4Pu.

CIF file:
```
data_Dy8Y4Pu
_chemical_formula_sum 'Dy24 Y12 Pu3'
_space_group_name_H-M_alt 'R -3 m'
_space_group_IT_number 166
_space_group_name_Hall '-R 3 2"'
_cell_length_a 10.9497
_cell_length_b 10.9497
_cell_length_c 13.3609
_cell_angle_alpha 90.00
_cell_angle_beta 90.00
_cell_angle_gamma 120.00
loop_
_atom_site_label
_atom_site_type_symbol
_atom_site_fract_x
_atom_site_fract_y
_atom_site_fract_z
Dy1 Dy 0.0000 0.0000 0.2449
Dy2 Dy 0.0065 0.5032 0.7477
Y1 Y 0.0000 0.0000 0.0000
Y2 Y 0.0000 0.5000 0.0000
Pu1 Pu 0.0000 0.0000 0.5000
```

Results
ΔE_f in meV/atom: 536.0

=====

DFT (PBE) results for a relaxed structure of Dy2YPu.

CIF file:
```
data_Dy2YPu
_chemical_formula_sum 'Dy2 Y1 Pu1'
_space_group_name_H-M_alt 'P 4/m m m'
_space_group_IT_number 123
_space_group_name_Hall '-P 4 2'
_cell_length_a 4.982
_cell_length_b 4.982
_cell_length_c 4.953
_cell_angle_alpha 90.00
_cell_angle_beta 90.00
_cell_angle_gamma 90.00
loop_
_atom_site_label
_atom_site_type_symbol
_atom_site_fract_x
_atom_site_fract_y
_atom_site_fract_z
Dy1 Dy 0.000 0.500 0.000
Y1 Y 0.000 0.000 0.500
Pu1 Pu 0.500 0.500 0.500
```

Results
Distance to the lowest polymorph of the same formula in eV per atom: 0.051
ΔE_f in meV/atom: 145.4

=====

DFT (PBE) results for a relaxed structure of Dy5Y12Pu.

CIF file:
```
data_Dy5Y12Pu
_chemical_formula_sum 'Dy10 Y24 Pu2'
_space_group_name_H-M_alt 'C 1 2/m 1'
_space_group_IT_number 12
_cell_length_a 6.187
_cell_length_b 10.708
_cell_length_c 17.390
_cell_angle_alpha 90.00
_cell_angle_beta 96.82
_cell_angle_gamma 90.00
loop_
_space_group_symop_operation_xyz
'x,y,z'
'-x,-y,-z'
'-x,y,-z'
'x,-y,z'
'x+1/2,y+1/2,z'
'-x+1/2,-y+1/2,-z'
'-x+1/2,y+1/2,-z'
'x+1/2,-y+1/2,z'
loop_
_atom_site_label
_atom_site_type_symbol
_atom_site_fract_x
_atom_site_fract_y
_atom_site_fract_z
Dy1 Dy 0.000 0.000 0.000
Dy2 Dy 0.000 0.167 0.500
Dy3 Dy 0.000 0.333 0.000
Y1 Y 0.111 0.335 0.334
Y2 Y 0.116 0.000 0.334
Y3 Y 0.223 0.167 0.167
Y4 Y 0.223 0.500 0.167
Pu1 Pu 0.000 0.500 0.500
```

Results
ΔE_f in meV/atom: 28.4

=====

DFT (PBE) results for a relaxed structure of Dy2Y7Pu.

CIF file:
```
data_Dy2Y7Pu
_chemical_formula_sum 'Dy2 Y7 Pu1'
_space_group_name_H-M_alt 'P 1 2/m 1'
_space_group_IT_number 10
_cell_length_a 6.200
_cell_length_b 3.549
_cell_length_c 14.515
_cell_angle_alpha 90.00
_cell_angle_beta 98.13
_cell_angle_gamma 90.00
loop_
_space_group_symop_operation_xyz
'x,y,z'
'-x,-y,-z'
'-x,y,-z'
'x,-y,z'
loop_
_atom_site_label
_atom_site_type_symbol
_atom_site_fract_x
_atom_site_fract_y
_atom_site_fract_z
Dy1 Dy 0.132 0.000 0.398
Y1 Y 0.101 0.500 0.803
Y2 Y 0.366 0.500 0.601
Y3 Y 0.395 0.000 0.199
Y4 Y 0.500 0.500 0.000
Pu1 Pu 0.000 0.000 0.000
```

Results
ΔE_f in meV/atom: 42.4

=====

DFT (PBE) results for a relaxed structure of Dy8Y5Pu.

CIF file:
```
data_Dy8Y5Pu
_chemical_formula_sum 'Dy16 Y10 Pu2'
_space_group_name_H-M_alt 'I -4'
_space_group_IT_number 82
_cell_length_a 9.865
_cell_length_b 9.865
_cell_length_c 9.298
_cell_angle_alpha 90.00
_cell_angle_beta 90.00
_cell_angle_gamma 90.00
loop_
_space_group_symop_operation_xyz
'x,y,z'
'y,-x,-z'
'-x,-y,z'
'-y,x,-z'
'x+1/2,y+1/2,z+1/2'
'y+1/2,-x+1/2,-z+1/2'
'-x+1/2,-y+1/2,z+1/2'
'-y+1/2,x+1/2,-z+1/2'
loop_
_atom_site_label
_atom_site_type_symbol
_atom_site_fract_x
_atom_site_fract_y
_atom_site_fract_z
Dy1 Dy 0.042 0.340 0.053
Dy2 Dy 0.146 0.245 0.706
Y1 Y 0.000 0.000 0.000
Y2 Y 0.082 0.166 0.372
Pu1 Pu 0.000 0.500 0.750
```

Results
ΔE_f in meV/atom: 287.4

=====

DFT (PBE) results for a relaxed structure of Dy2YPu.

CIF file:
```
data_Dy2YPu
_chemical_formula_sum 'Dy2 Y1 Pu1'
_space_group_name_H-M_alt 'P 4/m m m'
_space_group_IT_number 123
_space_group_name_Hall '-P 4 2'
_cell_length_a 3.501
_cell_length_b 3.501
_cell_length_c 9.996
_cell_angle_alpha 90.00
_cell_angle_beta 90.00
_cell_angle_gamma 90.00
loop_
_atom_site_label
_atom_site_type_symbol
_atom_site_fract_x
_atom_site_fract_y
_atom_site_fract_z
Dy1 Dy 0.000 0.000 0.243
Y1 Y 0.500 0.500 0.500
Pu1 Pu 0.500 0.500 0.000
```

Results
Distance to the lowest polymorph of the same formula in eV per atom: 0.004
ΔE_f in meV/atom: 98.6

=====

DFT (PBE) results for a relaxed structure of Dy5Y2Pu.

CIF file:
```
data_Dy5Y2Pu
_chemical_formula_sum 'Dy10 Y4 Pu2'
_space_group_name_H-M_alt 'P -1'
_space_group_IT_number 2
_cell_length_a 6.606
_cell_length_b 6.650
_cell_length_c 12.008
_cell_angle_alpha 78.07
_cell_angle_beta 77.87
_cell_angle_gamma 87.26
loop_
_space_group_symop_operation_xyz
'x,y,z'
'-x,-y,-z'
loop_
_atom_site_label
_atom_site_type_symbol
_atom_site_fract_x
_atom_site_fract_y
_atom_site_fract_z
Dy1 Dy 0.011 0.238 0.018
Dy2 Dy 0.127 0.748 0.240
Dy3 Dy 0.255 0.616 0.740
Dy4 Dy 0.262 0.485 0.482
Dy5 Dy 0.268 0.227 0.249
Y1 Y 0.000 0.000 0.500
Y2 Y 0.500 0.000 0.000
Y3 Y 0.500 0.000 0.500
Y4 Y 0.500 0.500 0.000
Pu1 Pu 0.360 0.128 0.750
```

Results
ΔE_f in meV/atom: 180.4